Entry 1:
## Sr3In9Pb2 (PBE)

Data for crystalline Sr3In9Pb2 at its relaxed geometry.

Output
The calculation puts the total magnetization at 0.00 μB/f.u. The formation energy comes out at -0.28 eV/atom.

a b c (Å): 4.9320 9.7889 9.7889
angles (deg): 71.39 75.41 75.41
With the nearest neighbours (Å) after each atom.
Element x y z (fractional)
In (0.8497, 0.8730, 0.4276)  3 In 3.02, 2 Pb 3.36
In (0.6636, 0.9623, 0.7105)  4 In 2.88-3.02, 1 Pb 3.14
In (0.3364, 0.2895, 0.0377)  4 In 2.88-3.02, 1 Pb 3.14
In (0.6636, 0.7105, 0.9623)  4 In 2.88-3.02, 1 Pb 3.14
In (0.1503, 0.5724, 0.1270)  3 In 3.02, 2 Pb 3.36
In (0.0000, 0.5000, 0.5000)  4 Pb 3.40, 4 In 3.41, 4 Sr 3.78
In (0.1503, 0.1270, 0.5724)  3 In 3.02, 2 Pb 3.36
In (0.3364, 0.0377, 0.2895)  4 In 2.88-3.02, 1 Pb 3.14
In (0.8497, 0.4276, 0.8730)  3 In 3.02, 2 Pb 3.36
Pb (0.5000, 0.2948, 0.7052)  8 In 3.14-3.40
Pb (0.5000, 0.7052, 0.2948)  8 In 3.14-3.40
Sr (0.3106, 0.6894, 0.6894)  12 In 3.59-3.99, 2 Pb 3.70
Sr (0.6894, 0.3106, 0.3106)  12 In 3.59-3.99, 2 Pb 3.70
Sr (0.0000, 0.0000, 0.0000)  12 In 3.78-3.90, 4 Pb 4.17


Entry 2:
## SrInPb (PBE)

Data for crystalline SrInPb at its relaxed geometry.

Output
The calculation puts the total magnetization at 0.00 μB/f.u. The formation energy comes out at -0.37 eV/atom.

a b c (Å): 4.9475 4.9475 4.7930
angles (deg): 90.00 90.00 120.00
With the nearest neighbours (Å) after each atom.
Element x y z (fractional)
Sr (0.3333, 0.6667, 0.6705)  3 In 3.42, 3 Pb 3.45
Pb (0.6667, 0.3333, 0.2654)  3 In 3.01
In (0.0000, 0.0000, 0.0641)  3 Pb 3.01


Entry 3:
## SrIn2Pb6 (PBE)

Data for crystalline SrIn2Pb6 at its relaxed geometry.

Output
The calculation puts the total magnetization at 0.00 μB/f.u. The formation energy comes out at -0.12 eV/atom. The relative energy among the computed polymorphs is 0.000 eV/atom.

a b c (Å): 4.8025 6.2475 10.7244
angles (deg): 72.70 77.06 67.40
With the nearest neighbours (Å) after each atom.
Element x y z (fractional)
Pb (0.6725, 0.0439, 0.6111)  3 In 3.41-3.60, 5 Pb 3.46-3.55, 3 Sr 3.55-3.59
Pb (0.3310, 0.2777, 0.0604)  3 In 3.40-3.59, 9 Pb 3.45-3.71
Pb (0.0021, 0.1570, 0.8387)  8 Pb 3.43-3.65, 3 In 3.51-3.61, 1 Sr 3.63
Pb (0.9979, 0.8430, 0.1613)  8 Pb 3.43-3.65, 3 In 3.51-3.61, 1 Sr 3.63
Pb (0.3275, 0.9561, 0.3889)  3 In 3.41-3.60, 5 Pb 3.46-3.55, 3 Sr 3.55-3.59
Pb (0.6690, 0.7223, 0.9396)  3 In 3.40-3.59, 9 Pb 3.45-3.71
In (0.6782, 0.3710, 0.2726)  9 Pb 3.40-3.61, 2 Sr 3.58
In (0.3218, 0.6290, 0.7274)  9 Pb 3.40-3.61, 2 Sr 3.58
Sr (0.0000, 0.5000, 0.5000)  8 Pb 3.55-3.63, 4 In 3.58


Entry 4:
## Sr2In6Pb (PBE)

Data for crystalline Sr2In6Pb at its relaxed geometry.

Output
The calculation puts the total magnetization at 0.00 μB/f.u. The formation energy comes out at -0.28 eV/atom.

a b c (Å): 6.8513 6.7817 6.7878
angles (deg): 119.97 89.93 90.00
With the nearest neighbours (Å) after each atom.
Element x y z (fractional)
In (0.3411, 0.1806, 0.8191)  4 In 3.04-3.11, 1 Pb 3.16
In (0.6589, 0.8194, 0.1809)  4 In 3.04-3.11, 1 Pb 3.16
In (0.6597, 0.8191, 0.6383)  4 In 3.04-3.11, 1 Pb 3.16
In (0.3403, 0.1809, 0.3617)  4 In 3.04-3.11, 1 Pb 3.16
In (0.3411, 0.6385, 0.8191)  4 In 3.04-3.11, 1 Pb 3.16
In (0.6589, 0.3615, 0.1809)  4 In 3.04-3.11, 1 Pb 3.16
Pb (0.0000, 0.0000, 0.0000)  6 In 3.16
Sr (0.8613, 0.3335, 0.6670)  12 In 3.67-4.00, 3 Pb 4.03
Sr (0.1387, 0.6665, 0.3330)  12 In 3.67-4.00, 3 Pb 4.03


Entry 5:
## SrIn2Pb (PBE)

Data for crystalline SrIn2Pb at its relaxed geometry.

Output
The calculation puts the total magnetization at 0.00 μB/f.u. The formation energy comes out at -0.32 eV/atom.

a b c (Å): 4.8680 4.8654 5.0248
angles (deg): 90.00 90.00 90.00
With the nearest neighbours (Å) after each atom.
Element x y z (fractional)
Sr (0.0000, 0.5000, 0.5000)  4 Pb 3.44, 8 In 3.50
In (0.0000, 0.0000, 0.0000)  4 In 3.44, 4 Sr 3.50, 4 Pb 3.50
In (0.5000, 0.5000, 0.0000)  4 In 3.44, 4 Pb 3.50, 4 Sr 3.50
Pb (0.5000, 0.0000, 0.5000)  4 Sr 3.44, 8 In 3.50


Entry 6:
## Sr2InPb (PBE)

Data for crystalline Sr2InPb at its relaxed geometry.

Output
The calculation puts the total magnetization at 0.00 μB/f.u. The formation energy comes out at -0.33 eV/atom. The relative energy among the computed polymorphs is 0.173 eV/atom.

a b c (Å): 6.6161 6.6161 6.6161
angles (deg): 135.58 135.58 64.63
With the nearest neighbours (Å) after each atom.
Element x y z (fractional)
Sr (0.0000, 0.0000, 0.0000)  4 In 3.54, 4 Sr 3.75, 4 Pb 3.75
Sr (0.2500, 0.7500, 0.5000)  4 Pb 3.54, 4 In 3.75, 4 Sr 3.75
Pb (0.7500, 0.2500, 0.5000)  8 Sr 3.54-3.75, 4 In 3.75
In (0.5000, 0.5000, 0.0000)  8 Sr 3.54-3.75, 4 Pb 3.75


Entry 7:
## Sr2InPb (PBE)

Data for crystalline Sr2InPb at its relaxed geometry.

Output
The calculation puts the total magnetization at 0.00 μB/f.u. The formation energy comes out at -0.19 eV/atom. The relative energy among the computed polymorphs is 0.316 eV/atom.

a b c (Å): 5.8684 5.8684 5.8684
angles (deg): 60.00 60.00 60.00
With the nearest neighbours (Å) after each atom.
Element x y z (fractional)
Sr (0.0000, 0.0000, 0.0000)  4 Sr 3.59, 4 Pb 3.59
Sr (0.2500, 0.2500, 0.2500)  4 In 3.59, 4 Sr 3.59
In (0.5000, 0.5000, 0.5000)  4 Pb 3.59, 4 Sr 3.59
Pb (0.7500, 0.7500, 0.7500)  4 In 3.59, 4 Sr 3.59


Entry 8:
## Sr2InPb (PBE)

Data for crystalline Sr2InPb at its relaxed geometry.

Output
The calculation puts the total magnetization at 0.00 μB/f.u. The formation energy comes out at -0.30 eV/atom. The relative energy among the computed polymorphs is 0.201 eV/atom.

a b c (Å): 5.6551 5.6551 7.2490
angles (deg): 79.71 79.71 41.00
With the nearest neighbours (Å) after each atom.
Element x y z (fractional)
Sr (0.9981, 0.9981, 0.0023)  3 In 3.48-3.54, 3 Pb 3.49-3.50
Sr (0.5019, 0.5019, 0.4977)  3 In 3.48-3.54, 3 Pb 3.49-3.50
In (0.7500, 0.7500, 0.7500)  6 Sr 3.48-3.54
Pb (0.2500, 0.2500, 0.2500)  6 Sr 3.49-3.50


Entry 9:
## Sr4InPb2 (PBE)

Data for crystalline Sr4InPb2 at its relaxed geometry.

Output
The calculation puts the total magnetization at 0.00 μB/f.u. The formation energy comes out at -0.46 eV/atom.

a b c (Å): 5.7685 5.7685 9.9316
angles (deg): 73.12 73.12 60.00
With the nearest neighbours (Å) after each atom.
Element x y z (fractional)
Sr (0.1259, 0.1259, 0.6223)  4 Pb 3.51-3.55, 1 In 3.53
Sr (0.6231, 0.6231, 0.1308)  4 Pb 3.50-3.54, 3 In 3.55
Sr (0.3769, 0.3769, 0.8692)  4 Pb 3.50-3.54, 3 In 3.55
Sr (0.8741, 0.8741, 0.3777)  4 Pb 3.51-3.55, 1 In 3.53
Pb (0.7492, 0.7492, 0.7525)  8 Sr 3.50-3.55
Pb (0.2508, 0.2508, 0.2475)  8 Sr 3.50-3.55
In (0.0000, 0.0000, 0.0000)  8 Sr 3.53-3.55


Entry 10:
## SrInPb3 (PBE)

Data for crystalline SrInPb3 at its relaxed geometry.

Output
The calculation puts the total magnetization at 0.00 μB/f.u. The formation energy comes out at 0.13 eV/atom. The relative energy among the computed polymorphs is 0.315 eV/atom.

a b c (Å): 5.8043 5.8043 5.8043
angles (deg): 90.00 90.00 90.00
With the nearest neighbours (Å) after each atom.
Element x y z (fractional)
Pb (0.0000, 0.5000, 0.0000)  2 In 2.90
Pb (0.0000, 0.0000, 0.5000)  2 In 2.90
Pb (0.5000, 0.0000, 0.0000)  2 In 2.90
In (0.0000, 0.0000, 0.0000)  6 Pb 2.90
Sr (0.5000, 0.5000, 0.5000)  12 Pb 4.10


Entry 11:
## Sr8InPb2 (PBE)

Data for crystalline Sr8InPb2 at its relaxed geometry.

Output
The calculation puts the total magnetization at 0.00 μB/f.u. The formation energy comes out at -0.34 eV/atom. The relative energy among the computed polymorphs is 0.000 eV/atom.

a b c (Å): 5.8069 8.1165 10.6355
angles (deg): 107.48 105.84 90.00
With the nearest neighbours (Å) after each atom.
Element x y z (fractional)
Pb (0.1873, 0.7038, 0.3746)  9 Sr 3.40-3.73
Pb (0.8127, 0.2962, 0.6254)  9 Sr 3.40-3.73
Sr (0.3376, 0.0477, 0.6751)  3 Pb 3.45-3.66, 1 In 3.46
Sr (0.2004, 0.2963, 0.4007)  3 Pb 3.40-3.70
Sr (0.0283, 0.7862, 0.0566)  1 Pb 3.52, 2 In 3.52, 4 Sr 3.93
Sr (0.5962, 0.4429, 0.1924)  1 In 3.52, 2 Pb 3.73, 3 Sr 3.93
Sr (0.4038, 0.5571, 0.8076)  1 In 3.52, 2 Pb 3.73, 3 Sr 3.93
Sr (0.9717, 0.2138, 0.9434)  1 Pb 3.52, 2 In 3.52, 4 Sr 3.93
Sr (0.6624, 0.9523, 0.3249)  3 Pb 3.45-3.66, 1 In 3.46
Sr (0.7996, 0.7037, 0.5993)  3 Pb 3.40-3.70
In (0.5000, 0.0000, 0.0000)  8 Sr 3.46-3.52


Entry 12:
## SrIn6Pb12 (PBE)

Data for crystalline SrIn6Pb12 at its relaxed geometry.

Output
The calculation puts the total magnetization at 0.00 μB/f.u. The formation energy comes out at 0.02 eV/atom. The relative energy among the computed polymorphs is 0.009 eV/atom.

a b c (Å): 9.1747 9.1747 9.1747
angles (deg): 109.47 109.47 109.47
With the nearest neighbours (Å) after each atom.
Element x y z (fractional)
Pb (0.7437, 0.9530, 0.2093)  2 In 3.05-3.32
Pb (0.2093, 0.2563, 0.4656)  2 In 3.05-3.32
Pb (0.7437, 0.5344, 0.7907)  2 In 3.05-3.32
Pb (0.7907, 0.2563, 0.0470)  2 In 3.05-3.32
Pb (0.0470, 0.7907, 0.2563)  2 In 3.05-3.32
Pb (0.5344, 0.7907, 0.7437)  2 In 3.05-3.32
Pb (0.7907, 0.7437, 0.5344)  2 In 3.05-3.32
Pb (0.2093, 0.7437, 0.9530)  2 In 3.05-3.32
Pb (0.2563, 0.4656, 0.2093)  2 In 3.05-3.32
Pb (0.4656, 0.2093, 0.2563)  2 In 3.05-3.32
Pb (0.2563, 0.0470, 0.7907)  2 In 3.05-3.32
Pb (0.9530, 0.2093, 0.7437)  2 In 3.05-3.32
Sr (0.0000, 0.0000, 0.0000)  12 Pb 3.51
In (0.6382, 0.5000, 0.1382)  1 In 2.93, 2 Pb 3.05
In (0.5000, 0.1382, 0.6382)  1 In 2.93, 2 Pb 3.05
In (0.5000, 0.8618, 0.3618)  1 In 2.93, 2 Pb 3.05
In (0.1382, 0.6382, 0.5000)  1 In 2.93, 2 Pb 3.05
In (0.8618, 0.3618, 0.5000)  1 In 2.93, 2 Pb 3.05
In (0.3618, 0.5000, 0.8618)  1 In 2.93, 2 Pb 3.05


- Number 1 is which compound?
  Sr3In9Pb2